# Zn2TeMoO7 (GGA+U, optimized geometry)
# M_tot: 0.000 μB/f.u.
# DOS(E_F): 0.0 states/eV/f.u.
# Electronic total energy: -5.720 eV per atom
data_Zn2TeMoO7
_cell_length_a 8.737
_cell_length_b 5.232
_cell_length_c 7.400
_cell_angle_alpha 79.09
_cell_angle_beta 90.00
_cell_angle_gamma 90.00
_symmetry_space_group_name_H-M 'P 1'
_symmetry_Int_Tables_number 1
loop_
_symmetry_equiv_pos_as_xyz
'x,y,z'
loop_
_atom_site_label
_atom_site_fract_x
_atom_site_fract_y
_atom_site_fract_z
Zn1 0.466 0.941 0.522
Zn2 0.966 0.059 0.478
Zn3 0.636 0.524 0.242
Zn4 0.136 0.476 0.758
Te1 0.758 0.506 0.642
Te2 0.258 0.494 0.358
Mo1 0.468 0.087 0.981
Mo2 0.968 0.913 0.019
O1 0.941 0.708 0.627
O2 0.441 0.292 0.373
O3 0.646 0.743 0.459
O4 0.146 0.257 0.541
O5 0.449 0.793 0.157
O6 0.949 0.207 0.843
O7 0.795 0.314 0.450
O8 0.295 0.686 0.550
O9 0.610 0.300 0.046
O10 0.110 0.700 0.954
O11 0.289 0.252 0.942
O12 0.789 0.748 0.058
O13 0.531 0.009 0.767
O14 0.031 0.991 0.233